BeFeNiSb | OQMD via LeMat-Bulk | PBE-GGA | optimized geometry; DFT total energy = -20.6 eV for the cell shown; V = 52 Å³/f.u.
1.0
0.000 2.971 2.971
2.971 0.000 2.971
2.971 2.971 0.000
Fe Ni Sb Be
1 1 1 1
Cartesian
2.971 2.971 2.971 Fe
4.456 4.456 4.456 Ni
0.000 0.000 0.000 Sb
1.485 1.485 1.485 Be